(1)
! SmAgS2 (PBE, optimized geometry); values from VASP
! Formation energy without anion corrections: -26.77 kcal/mol of atoms
! Symmetry: Pmmn, No. 59
&SYSTEM
  ibrav = 0, nat = 8, ntyp = 3
/
ATOMIC_SPECIES
Sm 150.36 Sm.upf
Ag 107.87 Ag.upf
S 32.06 S.upf
ATOMIC_POSITIONS crystal
Sm 0.250 0.250 0.141
Sm 0.750 0.750 0.859
Ag 0.250 0.750 0.500
Ag 0.750 0.250 0.500
S 0.250 0.250 0.360
S 0.250 0.250 0.890
S 0.750 0.750 0.110
S 0.750 0.750 0.640
CELL_PARAMETERS angstrom
4.071 0.000 0.000
0.000 4.074 0.000
0.000 0.000 11.806

***

(2)
! ScCuAg2 (PBE, optimized geometry); values from VASP
! Energy relative to the lowest polymorph listed for this composition: 0.297 eV/atom
! Symmetry: I-42d, No. 122
&SYSTEM
  ibrav = 0, nat = 8, ntyp = 3
/
ATOMIC_SPECIES
Sc 44.96 Sc.upf
Cu 63.55 Cu.upf
Ag 107.87 Ag.upf
ATOMIC_POSITIONS crystal
Sc 0.000 0.000 0.000
Sc 0.750 0.250 0.500
Cu 0.250 0.750 0.500
Cu 0.500 0.500 0.000
Ag 0.159 0.625 0.034
Ag 0.375 0.409 0.534
Ag 0.591 0.125 0.966
Ag 0.875 0.841 0.466
CELL_PARAMETERS angstrom
-3.742 3.742 2.741
3.742 -3.742 2.741
3.742 3.742 -2.741

***

(3)
! Li3Ac2TmBi4 (PBE, optimized geometry); values from VASP
! Symmetry: P-4m2, No. 115
! DFT total energy: -0.2940 Ry per atom
&SYSTEM
  ibrav = 0, nat = 10, ntyp = 4
/
ATOMIC_SPECIES
Li 6.94 Li.upf
Ac 227.00 Ac.upf
Tm 168.93 Tm.upf
Bi 208.98 Bi.upf
ATOMIC_POSITIONS crystal
Li 0.000 0.000 0.000
Li 0.000 0.500 0.616
Li 0.500 0.000 0.384
Ac 0.000 0.500 0.273
Ac 0.500 0.000 0.727
Tm 0.500 0.500 0.000
Bi 0.000 0.000 0.500
Bi 0.000 0.500 0.842
Bi 0.500 0.000 0.158
Bi 0.500 0.500 0.500
CELL_PARAMETERS angstrom
4.885 0.000 0.000
0.000 4.885 0.000
0.000 0.000 12.075

***

(4)
! Ho3IrRh8 (PBE, optimized geometry); values from VASP
! Symmetry: R3m, No. 160
! DFT total energy: -0.5338 Ry per atom
&SYSTEM
  ibrav = 0, nat = 12, ntyp = 3
/
ATOMIC_SPECIES
Ho 164.93 Ho.upf
Ir 192.22 Ir.upf
Rh 102.91 Rh.upf
ATOMIC_POSITIONS crystal
Ho 0.000 0.000 0.000
Ho 0.131 0.131 0.131
Ho 0.520 0.520 0.520
Ir 0.647 0.647 0.647
Rh 0.069 0.567 0.567
Rh 0.070 0.070 0.570
Rh 0.070 0.570 0.070
Rh 0.318 0.318 0.318
Rh 0.567 0.069 0.567
Rh 0.567 0.567 0.069
Rh 0.570 0.070 0.070
Rh 0.819 0.819 0.819
CELL_PARAMETERS angstrom
2.633 1.520 8.641
-2.633 1.520 8.641
0.000 -3.040 8.641

***

(5)
! TcPbS2N (PBE, optimized geometry); values from VASP
! Formation energy without anion corrections: 0.55 kcal/mol of atoms
! Energy relative to the lowest polymorph listed for this composition: 0.000 eV/atom
! Symmetry: P4/mmm, No. 123
&SYSTEM
  ibrav = 0, nat = 5, ntyp = 4
/
ATOMIC_SPECIES
Tc 98.00 Tc.upf
Pb 207.20 Pb.upf
S 32.06 S.upf
N 14.01 N.upf
ATOMIC_POSITIONS crystal
Tc 0.000 0.000 0.000
Pb 0.500 0.500 0.500
S 0.000 0.500 0.000
S 0.500 0.000 0.000
N 0.000 0.000 0.500
CELL_PARAMETERS angstrom
5.081 0.000 0.000
0.000 5.081 0.000
0.000 0.000 3.742

***

(6)
! SiPd3Pt (PBE, optimized geometry); values from VASP
! Formation energy without anion corrections: 28.07 kcal/mol of atoms
! Energy relative to the lowest polymorph listed for this composition: 1.584 eV/atom
! Symmetry: Pm-3m, No. 221
&SYSTEM
  ibrav = 0, nat = 5, ntyp = 3
/
ATOMIC_SPECIES
Si 28.09 Si.upf
Pd 106.42 Pd.upf
Pt 195.08 Pt.upf
ATOMIC_POSITIONS crystal
Si 0.000 0.000 0.000
Pd 0.000 0.500 0.500
Pd 0.500 0.000 0.500
Pd 0.500 0.500 0.000
Pt 0.500 0.500 0.500
CELL_PARAMETERS angstrom
4.867 0.000 0.000
0.000 4.867 0.000
0.000 0.000 4.867

***

(7)
! BeTl2Os (PBE, optimized geometry); values from VASP
! Energy relative to the lowest polymorph listed for this composition: 0.695 eV/atom
! Symmetry: Fm-3m, No. 225
&SYSTEM
  ibrav = 0, nat = 4, ntyp = 3
/
ATOMIC_SPECIES
Be 9.01 Be.upf
Tl 204.38 Tl.upf
Os 190.23 Os.upf
ATOMIC_POSITIONS crystal
Be 0.000 0.000 0.000
Tl 0.250 0.250 0.250
Tl 0.750 0.750 0.750
Os 0.500 0.500 0.500
CELL_PARAMETERS angstrom
0.000 3.326 3.326
3.326 0.000 3.326
3.326 3.326 0.000

***

(8)
! LiAc2Nb (PBE, optimized geometry); values from VASP
! Symmetry: R-3m, No. 166
! DFT total energy: -0.3113 Ry per atom
&SYSTEM
  ibrav = 0, nat = 4, ntyp = 3
/
ATOMIC_SPECIES
Li 6.94 Li.upf
Ac 227.00 Ac.upf
Nb 92.91 Nb.upf
ATOMIC_POSITIONS crystal
Li 0.000 0.000 0.000
Ac 0.417 0.417 0.417
Ac 0.583 0.583 0.583
Nb 0.500 0.500 0.500
CELL_PARAMETERS angstrom
1.738 1.003 12.179
-1.738 1.003 12.179
0.000 -2.006 12.179

***

(9)
! Ca3Tl12Sn (PBE, optimized geometry); values from VASP
! Symmetry: P4/mmm, No. 123
! DFT total energy: -0.1883 Ry per atom
&SYSTEM
  ibrav = 0, nat = 16, ntyp = 3
/
ATOMIC_SPECIES
Ca 40.08 Ca.upf
Tl 204.38 Tl.upf
Sn 118.71 Sn.upf
ATOMIC_POSITIONS crystal
Ca 0.000 0.000 0.000
Ca 0.000 0.000 0.250
Ca 0.000 0.000 0.750
Tl 0.000 0.500 0.125
Tl 0.000 0.500 0.377
Tl 0.000 0.500 0.623
Tl 0.000 0.500 0.875
Tl 0.500 0.000 0.125
Tl 0.500 0.000 0.377
Tl 0.500 0.000 0.623
Tl 0.500 0.000 0.875
Tl 0.500 0.500 0.000
Tl 0.500 0.500 0.246
Tl 0.500 0.500 0.500
Tl 0.500 0.500 0.754
Sn 0.000 0.000 0.500
CELL_PARAMETERS angstrom
4.971 0.000 0.000
0.000 4.971 0.000
0.000 0.000 18.915

***

(10)
! ErTlTc (PBE, optimized geometry); values from VASP
! Symmetry: R-3m, No. 166
! DFT total energy: -0.4304 Ry per atom
&SYSTEM
  ibrav = 0, nat = 6, ntyp = 3
/
ATOMIC_SPECIES
Er 167.26 Er.upf
Tl 204.38 Tl.upf
Tc 98.00 Tc.upf
ATOMIC_POSITIONS crystal
Er 0.062 0.062 0.062
Er 0.938 0.938 0.938
Tl 0.200 0.200 0.200
Tl 0.800 0.800 0.800
Tc 0.339 0.339 0.339
Tc 0.661 0.661 0.661
CELL_PARAMETERS angstrom
2.037 1.176 11.013
-2.037 1.176 11.013
0.000 -2.352 11.013

***

(11)
! AgTeI2Br (PBE, optimized geometry); values from VASP
! Formation energy without anion corrections: 8.53 kcal/mol of atoms
! Energy relative to the lowest polymorph listed for this composition: 0.000 eV/atom
! Symmetry: P4/mmm, No. 123
&SYSTEM
  ibrav = 0, nat = 5, ntyp = 4
/
ATOMIC_SPECIES
Ag 107.87 Ag.upf
Te 127.60 Te.upf
I 126.90 I.upf
Br 79.90 Br.upf
ATOMIC_POSITIONS crystal
Ag 0.000 0.000 0.000
Te 0.000 0.000 0.500
I 0.000 0.500 0.000
I 0.500 0.000 0.000
Br 0.500 0.500 0.500
CELL_PARAMETERS angstrom
5.541 0.000 0.000
0.000 5.541 0.000
0.000 0.000 5.675

***

(12)
! Hf2Mg2Ge (PBE, optimized geometry); values from VASP
! Symmetry: P4/mbm, No. 127
! DFT total energy: -0.4026 Ry per atom
&SYSTEM
  ibrav = 0, nat = 10, ntyp = 3
/
ATOMIC_SPECIES
Hf 178.49 Hf.upf
Mg 24.30 Mg.upf
Ge 72.64 Ge.upf
ATOMIC_POSITIONS crystal
Hf 0.152 0.348 0.000
Hf 0.348 0.848 0.000
Hf 0.652 0.152 0.000
Hf 0.848 0.652 0.000
Mg 0.150 0.650 0.500
Mg 0.350 0.150 0.500
Mg 0.650 0.850 0.500
Mg 0.850 0.350 0.500
Ge 0.000 0.000 0.000
Ge 0.500 0.500 0.000
CELL_PARAMETERS angstrom
6.942 0.000 0.000
0.000 6.942 0.000
0.000 0.000 4.818